Below is crystalline CrPd6Pt2 at its relaxed geometry, with properties calculated at the PBE level.

Summary:
SG: P-1, No. 2
DFT total energy (eV/f.u.): -53.62
Fermi-level density of states (states/eV/atom): 1.73
Crystal system: triclinic

Structure (POSCAR):
```
CrPd6Pt2
1.0
4.802 0.000 0.000
0.806 4.735 0.000
0.799 1.515 6.014
Cr Pd Pt
1 6 2
direct
0.000 0.000 0.000
0.110 0.557 0.780
0.222 0.111 0.557
0.330 0.669 0.328
0.670 0.331 0.672
0.778 0.889 0.443
0.890 0.443 0.220
0.446 0.219 0.108
0.554 0.781 0.892
```